[1]
# AcTbYHg

Crystalline AcTbYHg at its relaxed geometry (PBE, the Alexandria database).

It has space group F-43m (No. 216), with a = 7.9002 Å, b = 7.9002 Å, c = 7.9002 Å, α = 90.00°, β = 90.00° and γ = 90.00°. The inequivalent atoms are Ac at (0.0000, 0.0000, 0.0000), Tb at (0.2500, 0.2500, 0.7500), Y at (0.2500, 0.2500, 0.2500) and Hg at (0.0000, 0.0000, 0.5000).

The crystal system is cubic. Its density of states at the Fermi level is 26.45 states/eV/cell. The calculation puts the energy of formation at 43.4 meV/atom. The calculation puts the total energy at -3.8327 eV per atom. The calculation puts the total magnetic moment at 0.0 μB/f.u.

[2]
# LiCa2HIr

Crystalline LiCa2HIr at its relaxed geometry (PBE, the Alexandria database).

It has space group P4/mmm (No. 123), with a = 4.7825 Å, b = 4.7825 Å, c = 3.8118 Å, α = 90.00°, β = 90.00° and γ = 90.00°. The inequivalent atoms are Li at (0.0000, 0.0000, 0.0000), Ca at (0.0000, 0.5000, 0.5000), H at (0.0000, 0.0000, 0.5000) and Ir at (0.5000, 0.5000, 0.0000).

The crystal system is tetragonal. Its density of states at the Fermi level is 2.85 states/eV/cell. The calculation puts the distance to the lowest polymorph of the same formula at 6 kJ/mol of formula units. The calculation puts the total energy at -3.8817 eV per atom. The calculation puts the total magnetic moment at 0.0 μB/f.u.

[3]
# PmPrC3N6

Crystalline PmPrC3N6 at its relaxed geometry (PBE, the Alexandria database).

It has space group R3 (No. 146, hexagonal axes), with a = 6.7501 Å, b = 6.7501 Å, c = 15.3334 Å, α = 90.00°, β = 90.00° and γ = 120.00°. The inequivalent atoms are Pm at (0.0000, 0.0000, 0.0000), Pr at (0.0000, 0.0000, 0.6459), C at (0.0091, 0.2826, 0.8241), N at (0.0087, 0.4395, 0.4178) and N at (0.0973, 0.3510, 0.5637).

The crystal system is trigonal. Its density of states at the Fermi level is 0.00 states/eV/cell. Its formation energy (no corrections) is -717 meV per atom. The calculation puts the total energy at -8.6401 eV per atom. The calculation puts the total magnetic moment at 0.0 μB/f.u.